DFT (SCAN) results for a PBEsol-optimized structure of TlAg2P.

Computed properties:
space group = No. 12
formation energy = 1.66 eV/f.u.

a b c (Å): 2.941 5.650 5.591
angles (deg): 120.38 105.30 89.91
Atoms (fractional coordinates):
Ag (0.000, 0.000, 0.500)
Ag (0.500, 0.500, 0.500)
P (0.500, 0.000, 0.000)
Tl (0.000, 0.500, 0.000)

DFT (SCAN) results for a PBEsol-optimized structure of TlAgP2.

Computed properties:
space group = No. 160
formation energy = 0.86 eV/f.u.

a b c (Å): 3.385 3.385 7.841
angles (deg): 77.53 77.53 60.00
Atoms (fractional coordinates):
Ag (0.262, 0.262, 0.215)
P (0.009, 0.009, 0.972)
P (0.731, 0.731, 0.807)
Tl (0.498, 0.498, 0.507)

DFT (SCAN) results for a PBEsol-optimized structure of TlAg2P.

Computed properties:
space group = No. 225
formation energy = 1.41 eV/f.u.

a b c (Å): 4.737 4.737 4.737
angles (deg): 60.00 60.00 60.00
Atoms (fractional coordinates):
Ag (0.250, 0.250, 0.250)
Ag (0.750, 0.750, 0.750)
P (0.000, 0.000, 0.000)
Tl (0.500, 0.500, 0.500)

DFT (SCAN) results for a PBEsol-optimized structure of TlAg2P.

Computed properties:
space group = No. 99
formation energy = 1.27 eV/f.u.

a b c (Å): 3.536 3.536 6.057
angles (deg): 90.00 90.00 90.00
Atoms (fractional coordinates):
Ag (0.000, 0.000, 0.027)
Ag (0.500, 0.500, 0.279)
P (0.000, 0.000, 0.440)
Tl (0.500, 0.500, 0.753)